The following is a DFT calculation (PBE) of a geometry-optimized ZrAl2In structure.

Cell lengths 4.490, 3.087, 5.828 Å; angles 89.98, 90.00, 90.00 degrees
Atoms (fractional coordinates):
Zr: 0.500 0.750 0.750
Al: 0.000 0.250 0.528
Al: 0.000 0.250 0.972
In: 0.500 0.250 0.250

## Properties
Space-group type: Pmmm (47)
D(E_F): 0.323 states/eV per atom
Calculated total energy: -4.899 eV/atom
DFT formation energy: -19.9 kJ/mol of atoms